Record 1
The following is a PBE calculation of a geometry-optimized ZrTe2I structure, from the Alexandria database.

abc: 7.6584 7.6584 8.1431
angles: 61.95 61.95 90.00
With the nearest neighbours (Å) after each atom.
Fractional positions:
Zr1 0.2500 0.7500 0.5000  4 Te 2.76
Te1 0.8750 0.7934 0.7500  2 Zr 2.76
I1 0.7500 0.2500 0.5000  4 Te 3.53
Te2 0.5434 0.1250 0.2500  2 Zr 2.76
Te3 0.2066 0.6250 0.2500  2 Zr 2.76
Zr2 0.5000 0.5000 0.0000  4 Te 2.76
I2 0.0000 0.0000 0.0000  4 Te 3.53
Te4 0.3750 0.4566 0.7500  2 Zr 2.76

Results
- Raw formation energy: -0.173 eV per atom
- DOS at the Fermi energy: 1.830 states/eV/atom
- Total DFT energy (no corrections): -4.27 eV/atom
- Energy relative to the lowest polymorph listed for this composition: 1.508 eV/f.u.

---

Record 2
The following is a PBE calculation of a geometry-optimized KY2Mg structure, from the Alexandria database.

abc: 3.7828 5.9215 6.0989
angles: 90.00 90.00 90.00
With the nearest neighbours (Å) after each atom.
Fractional positions:
Y1 0.5000 0.5000 0.0000  6 Y 3.51-3.78, 4 Mg 3.59
Mg1 0.0000 0.5000 0.5000  4 K 3.51, 4 Y 3.59, 2 Mg 3.78
K1 0.5000 0.0000 0.5000  4 Mg 3.51, 4 Y 3.59, 2 K 3.78
Y2 0.0000 0.0000 0.0000  6 Y 3.51-3.78, 4 K 3.59

Results
- ΔH_f (0 K): 375 meV/atom
- DOS at the Fermi energy: 1.181 states/eV/atom
- Total DFT energy (no corrections): -3.53 eV/atom

---

Record 3
The following is a PBE calculation of a geometry-optimized HoThCdCu structure, from the Alexandria database.

abc: 5.1998 5.1998 5.1998
angles: 60.00 60.00 60.00
With the nearest neighbours (Å) after each atom.
Fractional positions:
Ho1 0.0000 0.0000 0.0000  4 Cd 3.18, 4 Cu 3.18
Cd1 0.7500 0.7500 0.7500  4 Th 3.18, 4 Ho 3.18
Th1 0.5000 0.5000 0.5000  4 Cd 3.18, 4 Cu 3.18
Cu1 0.2500 0.2500 0.2500  4 Th 3.18, 4 Ho 3.18

Results
- ΔH_f (0 K): -82 meV/atom
- DOS at the Fermi energy: 0.987 states/eV/atom
- Total DFT energy (no corrections): -4.33 eV/atom

---

Record 4
The following is a PBE calculation of a geometry-optimized MgB3P structure, from the Alexandria database.

abc: 3.9134 3.9134 3.9134
angles: 90.00 90.00 90.00
With the nearest neighbours (Å) after each atom.
Fractional positions:
B1 0.5000 0.0000 0.0000  2 P 1.96
P1 0.0000 0.0000 0.0000  6 B 1.96
B2 0.0000 0.0000 0.5000  2 P 1.96
Mg1 0.5000 0.5000 0.5000  12 B 2.77
B3 0.0000 0.5000 0.0000  2 P 1.96

Results
- ΔH_f (0 K): 1243 meV/atom
- DOS at the Fermi energy: 0.330 states/eV/atom
- Total DFT energy (no corrections): -4.16 eV/atom
- Energy relative to the lowest polymorph listed for this composition: 0.000 eV/f.u.

---

Record 5
The following is a PBE calculation of a geometry-optimized CsTl2Se2 structure, from the Alexandria database.

abc: 5.0431 5.0431 7.8592
angles: 71.29 71.29 90.00
With the nearest neighbours (Å) after each atom.
Fractional positions:
Cs1 0.0000 0.0000 0.0000  8 Se 3.87, 8 Tl 4.32
Se1 0.6067 0.6067 0.7866  1 Se 2.99, 4 Tl 3.22
Tl1 0.7500 0.2500 0.5000  4 Se 3.22, 4 Tl 3.57
Tl2 0.2500 0.7500 0.5000  4 Se 3.22, 4 Tl 3.57
Se2 0.3933 0.3933 0.2134  1 Se 2.99, 4 Tl 3.22

Results
- Raw formation energy: -0.526 eV per atom
- DOS at the Fermi energy: 0.526 states/eV/atom
- Total DFT energy (no corrections): -3.04 eV/atom
- Energy relative to the lowest polymorph listed for this composition: 0.183 eV/f.u.

---

Record 6
The following is a PBE calculation of a geometry-optimized Cd3PtAu4 structure, from the Alexandria database.

abc: 4.2295 4.2517 10.6298
angles: 126.81 101.48 90.00
With the nearest neighbours (Å) after each atom.
Fractional positions:
Au1 0.1229 0.3684 0.2457  2 Pt 2.93, 6 Cd 2.93-3.03, 4 Au 3.00
Pt1 0.5000 0.0000 0.0000  8 Au 2.93-2.94, 4 Cd 3.00
Cd1 0.7462 0.7387 0.4924  8 Au 2.93-3.03, 4 Cd 3.00
Cd2 0.2538 0.2613 0.5076  8 Au 2.93-3.03, 4 Cd 3.00
Au2 0.3773 0.1318 0.7547  6 Cd 2.93-3.02, 2 Pt 2.93-2.94, 4 Au 3.00
Au3 0.8771 0.6316 0.7543  2 Pt 2.93, 6 Cd 2.93-3.03, 4 Au 3.00
Cd3 0.0000 0.5000 0.0000  8 Au 2.93-2.94, 4 Pt 3.00
Au4 0.6227 0.8682 0.2453  6 Cd 2.93-3.02, 2 Pt 2.93-2.94, 4 Au 3.00

Results
- ΔH_f (0 K): -156 meV/atom
- DOS at the Fermi energy: 0.292 states/eV/atom
- Total DFT energy (no corrections): -2.89 eV/atom
- Energy relative to the lowest polymorph listed for this composition: 0.000 eV/f.u.

---

Record 7
The following is a PBE calculation of a geometry-optimized PaBeGa structure, from the Alexandria database.

abc: 3.9101 5.6711 5.6711
angles: 75.07 69.83 69.83
With the nearest neighbours (Å) after each atom.
Fractional positions:
Ga1 0.0000 0.8207 0.1793  2 Be 2.27, 1 Ga 2.48
Ga2 0.0000 0.1793 0.8207  2 Be 2.27, 1 Ga 2.48
Pa1 0.7524 0.7476 0.7476  6 Ga 2.99-3.09, 6 Be 3.00-3.15
Be1 0.5000 0.6540 0.3460  1 Be 2.13, 2 Ga 2.27
Be2 0.5000 0.3460 0.6540  1 Be 2.13, 2 Ga 2.27
Pa2 0.2476 0.2524 0.2524  6 Ga 2.99-3.09, 6 Be 3.00-3.15

Results
- ΔH_f (0 K): -152 meV/atom
- DOS at the Fermi energy: 0.858 states/eV/atom
- Total DFT energy (no corrections): -5.57 eV/atom
- Energy relative to the lowest polymorph listed for this composition: 0.102 eV/f.u.

---

Record 8
The following is a PBE calculation of a geometry-optimized CsKCd2In structure, from the Alexandria database.

abc: 5.8233 5.8233 6.6280
angles: 90.00 90.00 90.00
With the nearest neighbours (Å) after each atom.
Fractional positions:
Cd1 0.5000 0.0000 0.0000  2 In 2.91
Cd2 0.0000 0.5000 0.0000  2 In 2.91
In1 0.0000 0.0000 0.0000  4 Cd 2.91
Cs1 0.5000 0.5000 0.5000  4 K 4.12, 8 Cd 4.41
K1 0.0000 0.0000 0.5000  2 In 3.31

Results
- ΔH_f (0 K): 36 meV/atom
- DOS at the Fermi energy: 0.255 states/eV/atom
- Total DFT energy (no corrections): -1.27 eV/atom

---

Record 9
The following is a PBE calculation of a geometry-optimized CePmAu structure, from the Alexandria database.

abc: 5.0908 5.0908 5.0908
angles: 60.00 60.00 60.00
With the nearest neighbours (Å) after each atom.
Fractional positions:
Ce1 0.5000 0.5000 0.5000  4 Au 3.12
Au1 0.2500 0.2500 0.2500  4 Ce 3.12, 4 Pm 3.12
Pm1 0.0000 0.0000 0.0000  4 Au 3.12

Results
- ΔH_f (0 K): -250 meV/atom
- DOS at the Fermi energy: 3.397 states/eV/atom
- Total DFT energy (no corrections): -4.90 eV/atom
- Energy relative to the lowest polymorph listed for this composition: 0.669 eV/f.u.

---

Record 10
The following is a PBE calculation of a geometry-optimized CsOsSe2 structure, from the Alexandria database.

abc: 9.2715 9.2715 9.2715
angles: 24.58 24.58 24.58
With the nearest neighbours (Å) after each atom.
Fractional positions:
Os1 0.5000 0.5000 0.5000  6 Se 2.55
Se1 0.8759 0.8759 0.8759  3 Os 2.55
Se2 0.1241 0.1241 0.1241  3 Os 2.55
Cs1 0.0000 0.0000 0.0000  2 Se 3.35

Results
- Raw formation energy: -0.009 eV per atom
- DOS at the Fermi energy: 1.153 states/eV/atom
- Total DFT energy (no corrections): -4.77 eV/atom
- Energy relative to the lowest polymorph listed for this composition: 1.126 eV/f.u.

---

Record 11
The following is a PBE calculation of a geometry-optimized AcTb8Ho6 structure, from the Alexandria database.

abc: 8.2267 8.2267 8.2267
angles: 71.97 71.97 71.97
With the nearest neighbours (Å) after each atom.
Fractional positions:
Tb1 0.6124 0.1418 0.9442  2 Tb 3.16-3.32, 1 Ac 3.16, 4 Ho 3.36-3.49
Ho1 0.6168 0.4328 0.1732  7 Tb 3.36-3.75, 3 Ho 3.63-3.73
Tb2 0.0558 0.3876 0.8582  2 Tb 3.16-3.32, 1 Ac 3.16, 4 Ho 3.36-3.49
Tb3 0.3876 0.8582 0.0558  2 Tb 3.16-3.32, 1 Ac 3.16, 4 Ho 3.36-3.49
Ho2 0.1732 0.6168 0.4328  7 Tb 3.36-3.75, 3 Ho 3.63-3.73
Ho3 0.8268 0.3832 0.5672  7 Tb 3.36-3.75, 3 Ho 3.63-3.73
Ac1 0.0000 0.0000 0.0000  6 Tb 3.16
Ho4 0.4328 0.1732 0.6168  7 Tb 3.36-3.75, 3 Ho 3.63-3.73
Tb4 0.1418 0.9442 0.6124  2 Tb 3.16-3.32, 1 Ac 3.16, 4 Ho 3.36-3.49
Ho5 0.5672 0.8268 0.3832  7 Tb 3.36-3.75, 3 Ho 3.63-3.73
Tb5 0.2381 0.2381 0.2381  6 Tb 3.32-3.59
Tb6 0.8582 0.0558 0.3876  2 Tb 3.16-3.32, 1 Ac 3.16, 4 Ho 3.36-3.49
Ho6 0.3832 0.5672 0.8268  7 Tb 3.36-3.75, 3 Ho 3.63-3.73
Tb7 0.7619 0.7619 0.7619  6 Tb 3.32-3.59
Tb8 0.9442 0.6124 0.1418  2 Tb 3.16-3.32, 1 Ac 3.16, 4 Ho 3.36-3.49

Results
- ΔH_f (0 K): 222 meV/atom
- DOS at the Fermi energy: 1.436 states/eV/atom
- Total DFT energy (no corrections): -4.35 eV/atom
- Energy relative to the lowest polymorph listed for this composition: 1.100 eV/f.u.

---

Record 12
The following is a PBE calculation of a geometry-optimized Pr4SO5 structure, from the Alexandria database.

abc: 5.8848 7.5602 9.2121
angles: 90.00 90.00 90.00
With the nearest neighbours (Å) after each atom.
Fractional positions:
O1 0.7666 0.2455 0.3171  3 Pr 2.25-2.44
O2 0.2334 0.2545 0.1829  3 Pr 2.25-2.44
Pr1 0.5126 0.2429 0.5000  3 O 2.25-2.33
O3 0.2334 0.7455 0.1829  3 Pr 2.25-2.44
O4 0.2334 0.2545 0.8171  3 Pr 2.25-2.44
Pr2 0.5126 0.7571 0.5000  3 O 2.25-2.33
Pr3 0.4874 0.2571 0.0000  3 O 2.25-2.33
Pr4 0.0276 0.0000 0.7261  5 O 2.42-2.52
O5 0.7666 0.2455 0.6829  3 Pr 2.25-2.44
Pr5 0.4874 0.7429 0.0000  3 O 2.25-2.33
S1 0.1901 0.5000 0.5000  4 Pr 2.72-2.83
O6 0.7310 0.5000 0.0000  4 Pr 2.33-2.52
O7 0.7666 0.7545 0.3171  3 Pr 2.25-2.44
Pr6 0.9724 0.5000 0.2261  5 O 2.42-2.52
O8 0.2334 0.7455 0.8171  3 Pr 2.25-2.44
Pr7 0.9724 0.5000 0.7739  5 O 2.42-2.52
O9 0.2690 0.0000 0.5000  4 Pr 2.33-2.52
S2 0.8099 0.0000 0.0000  4 Pr 2.72-2.83
Pr8 0.0276 0.0000 0.2739  5 O 2.42-2.52
O10 0.7666 0.7545 0.6829  3 Pr 2.25-2.44

Results
- Raw formation energy: -2.892 eV per atom
- DOS at the Fermi energy: 0.000 states/eV/atom
- Total DFT energy (no corrections): -7.70 eV/atom